DFT (GGA-PBE) results for a geometry-optimized Tm3TaB7 structure.

Results
**Formation enthalpy at 0 K**: -0.65 eV/atom
**DFT total energy**: -7.195 eV/atom
**Total magnetic moment**: 0.000 μB per atom
**SG**: Cmcm, No. 63
**Calculated volume**: 260.9 Å³ per cell
**DOS(E_F)**: 8.0 states/eV/cell

Cell lengths 3.471, 8.107, 9.491 Å; angles 90.00, 90.00, 102.36 degrees
Element x y z (fractional)
Tm: 0.108 0.216 0.442
Tm: 0.892 0.784 0.558
Tm: 0.245 0.491 0.750
Tm: 0.755 0.509 0.250
Tm: 0.108 0.216 0.058
Tm: 0.892 0.784 0.942
Ta: 0.948 0.895 0.250
Ta: 0.052 0.105 0.750
B: 0.451 0.903 0.750
B: 0.549 0.097 0.250
B: 0.481 0.963 0.409
B: 0.519 0.037 0.591
B: 0.519 0.037 0.909
B: 0.481 0.963 0.091
B: 0.365 0.729 0.355
B: 0.635 0.271 0.645
B: 0.273 0.546 0.467
B: 0.727 0.454 0.533
B: 0.727 0.454 0.967
B: 0.273 0.546 0.033
B: 0.365 0.729 0.145
B: 0.635 0.271 0.855

***

DFT (GGA-PBE) results for a geometry-optimized U2TaB6 structure.

Results
**Formation enthalpy at 0 K**: 0.09 eV/atom
**DFT total energy**: -8.182 eV/atom
**Total magnetic moment**: 0.000 μB per atom
**SG**: Immm, No. 71
**Calculated volume**: 104.6 Å³ per cell
**DOS(E_F)**: 8.6 states/eV/cell

Cell lengths 2.938, 6.160, 6.160 Å; angles 81.01, 76.20, 76.20 degrees
Element x y z (fractional)
U: 0.362 0.138 0.138
U: 0.638 0.862 0.862
Ta: 0.500 0.500 0.500
B: 0.193 0.547 0.066
B: 0.807 0.453 0.934
B: 0.807 0.934 0.453
B: 0.000 0.242 0.758
B: 0.000 0.758 0.242
B: 0.193 0.066 0.547

***

DFT (GGA-PBE) results for a geometry-optimized UTaB4 structure.

Results
**Formation enthalpy at 0 K**: -0.57 eV/atom
**DFT total energy**: -8.880 eV/atom
**Total magnetic moment**: 0.017 μB per atom
**SG**: I-4m2, No. 119
**Calculated volume**: 63.0 Å³ per cell
**DOS(E_F)**: 3.5 states/eV/cell

Cell lengths 3.159, 3.159, 6.700 Å; angles 103.63, 103.63, 90.00 degrees
Element x y z (fractional)
U: 0.250 0.750 0.500
Ta: 0.000 0.000 0.000
B: 0.637 0.137 0.274
B: 0.576 0.576 0.153
B: 0.863 0.363 0.726
B: 0.424 0.424 0.847

***

DFT (GGA-PBE) results for a geometry-optimized UTa2B6 structure.

Results
**Formation enthalpy at 0 K**: -0.56 eV/atom
**DFT total energy**: -8.901 eV/atom
**Total magnetic moment**: 0.052 μB per atom
**SG**: P6/mmm, No. 191
**Calculated volume**: 91.4 Å³ per cell
**DOS(E_F)**: 3.8 states/eV/cell

Cell lengths 3.589, 5.423, 5.423 Å; angles 120.00, 90.00, 90.00 degrees
Element x y z (fractional)
U: 0.000 0.000 0.000
Ta: 0.000 0.333 0.667
Ta: 0.000 0.667 0.333
B: 0.500 0.336 0.336
B: 0.500 0.664 0.664
B: 0.500 0.000 0.664
B: 0.500 0.664 0.000
B: 0.500 0.336 0.000
B: 0.500 0.000 0.336

***

DFT (GGA-PBE) results for a geometry-optimized UTaB structure.

Results
**Formation enthalpy at 0 K**: 0.19 eV/atom
**DFT total energy**: -9.747 eV/atom
**Total magnetic moment**: 0.000 μB per atom
**SG**: Cmcm, No. 63
**Calculated volume**: 92.3 Å³ per cell
**DOS(E_F)**: 5.5 states/eV/cell

Cell lengths 3.485, 3.329, 8.129 Å; angles 78.18, 90.00, 90.00 degrees
Element x y z (fractional)
Ta: 0.250 0.931 0.138
Ta: 0.750 0.069 0.862
U: 0.250 0.219 0.563
U: 0.750 0.781 0.437
B: 0.250 0.555 0.890
B: 0.750 0.445 0.110

***

DFT (GGA-PBE) results for a geometry-optimized TaVB2 structure.

Results
**Formation enthalpy at 0 K**: 0.67 eV/atom
**DFT total energy**: -7.916 eV/atom
**Total magnetic moment**: 0.000 μB per atom
**SG**: I-42d, No. 122
**Calculated volume**: 113.9 Å³ per cell
**DOS(E_F)**: 3.1 states/eV/cell
**Relative energy among the computed polymorphs**: 1471 meV per atom

Cell lengths 4.765, 4.765, 6.042 Å; angles 66.78, 66.78, 90.00 degrees
Element x y z (fractional)
B: 0.601 0.125 0.250
B: 0.149 0.625 0.250
B: 0.375 0.399 0.750
B: 0.875 0.851 0.750
Ta: 0.000 0.000 0.000
Ta: 0.750 0.250 0.500
V: 0.500 0.500 0.000
V: 0.250 0.750 0.500

***

What is the calculated volume in the third record?
63.0 Å³ per cell

***

Among the records above, which one has the lowest DOS(E_F)?
TaVB2

***

Repeat the fourth record exactly.
DFT (GGA-PBE) results for a geometry-optimized UTa2B6 structure.

Results
**Formation enthalpy at 0 K**: -0.56 eV/atom
**DFT total energy**: -8.901 eV/atom
**Total magnetic moment**: 0.052 μB per atom
**SG**: P6/mmm, No. 191
**Calculated volume**: 91.4 Å³ per cell
**DOS(E_F)**: 3.8 states/eV/cell

Cell lengths 3.589, 5.423, 5.423 Å; angles 120.00, 90.00, 90.00 degrees
Element x y z (fractional)
U: 0.000 0.000 0.000
Ta: 0.000 0.333 0.667
Ta: 0.000 0.667 0.333
B: 0.500 0.336 0.336
B: 0.500 0.664 0.664
B: 0.500 0.000 0.664
B: 0.500 0.664 0.000
B: 0.500 0.336 0.000
B: 0.500 0.000 0.336

***

Look up the formation enthalpy at 0 K of the fourth one.
-0.56 eV/atom